1.
Y2Si4TcPt3: optimized geometry, GGA-PBE.

Lattice parameters (Å, degrees): 4.187 4.187 9.878 90.00 90.00 90.00
Space group P-4m2 (No. 115)
Inequivalent atoms, fractional coordinates:
Y1 0.000 0.500 0.246 (multiplicity 2)
Si1 0.000 0.000 0.000 (multiplicity 1)
Si2 0.000 0.500 0.628 (multiplicity 2)
Si3 0.500 0.500 0.000 (multiplicity 1)
Tc1 0.000 0.000 0.500 (multiplicity 1)
Pt1 0.000 0.500 0.873 (multiplicity 2)
Pt2 0.500 0.500 0.500 (multiplicity 1)

## Properties
Energy relative to the elements, uncorrected in eV/atom: -1.033
ρ in g cm⁻³: 9.34

2.
PrGa2Rh5: optimized geometry, GGA-PBE.

Lattice parameters (Å, degrees): 3.872 6.982 10.117 90.00 90.00 90.00
Space group Immm (No. 71)
Inequivalent atoms, fractional coordinates:
Pr1 0.000 0.000 0.000 (multiplicity 2)
Ga1 0.000 0.500 0.243 (multiplicity 4)
Rh1 0.000 0.195 0.362 (multiplicity 8)
Rh2 0.000 0.500 0.000 (multiplicity 2)

## Properties
Energy relative to the elements in meV/atom: -473
ρ in g cm⁻³: 9.65